(1)
The following is a DFT calculation (GGA-PBE) of a geometry-optimized Pm2Y3Ni2 structure.

Calculated values
density of states at the Fermi level	8.91	states/eV per cell
V	183.1	Å³ per cell
space group	C2/m, No. 12
crystal system	monoclinic
calculated formation energy	-22.0	kJ/mol of atoms

POSCAR file:
```
Pm2Y3Ni2
1.0
6.170 -1.815 0.000
6.170 1.815 0.000
-4.010 0.000 8.176
Pm Y Ni
2 3 2
direct
0.168 0.168 0.309
0.832 0.832 0.691
0.385 0.385 0.070
0.500 0.500 0.500
0.615 0.615 0.930
0.171 0.171 0.739
0.829 0.829 0.261
```

(2)
The following is a DFT calculation (GGA-PBE) of a geometry-optimized Pm4Y3Ni4 structure.

Calculated values
density of states at the Fermi level	12.33	states/eV per cell
V	264.9	Å³ per cell
space group	Immm, No. 71
crystal system	orthorhombic
calculated formation energy	-15.5	kJ/mol of atoms

POSCAR file:
```
Pm4Y3Ni4
1.0
-2.296 3.817 7.554
2.296 -3.817 7.554
2.296 3.817 -7.554
Pm Y Ni
4 3 4
direct
0.046 0.833 0.213
0.380 0.167 0.213
0.620 0.833 0.787
0.954 0.167 0.787
0.000 0.500 0.500
0.396 0.396 0.000
0.604 0.604 0.000
0.208 0.708 0.500
0.344 0.000 0.344
0.656 0.000 0.656
0.792 0.292 0.500
```

(3)
The following is a DFT calculation (GGA-PBE) of a geometry-optimized Pm2YNi2 structure.

Calculated values
density of states at the Fermi level	4.85	states/eV per cell
V	119.5	Å³ per cell
space group	Cmmm, No. 65
crystal system	orthorhombic
calculated formation energy	-26.0	kJ/mol of atoms

POSCAR file:
```
Pm2YNi2
1.0
2.189 -7.097 0.000
2.189 7.097 0.000
0.000 0.000 3.845
Pm Y Ni
2 1 2
direct
0.149 0.851 0.000
0.851 0.149 0.000
0.500 0.500 0.500
0.299 0.701 0.500
0.701 0.299 0.500
```

(4)
The following is a DFT calculation (GGA-PBE) of a geometry-optimized PmY2Ni6 structure.

Calculated values
density of states at the Fermi level	9.19	states/eV per cell
V	159.0	Å³ per cell
space group	P6/mmm, No. 191
crystal system	hexagonal
calculated formation energy	-35.0	kJ/mol of atoms

POSCAR file:
```
PmY2Ni6
1.0
6.961 0.000 0.000
-3.480 6.028 0.000
0.000 0.000 3.788
Pm Y Ni
1 2 6
direct
0.000 0.000 0.000
0.333 0.667 0.000
0.667 0.333 0.000
0.000 0.335 0.500
0.000 0.665 0.500
0.335 0.000 0.500
0.335 0.335 0.500
0.665 0.000 0.500
0.665 0.665 0.500
```

(5)
The following is a DFT calculation (GGA-PBE) of a geometry-optimized Pm3YNi8 structure.

Calculated values
density of states at the Fermi level	7.93	states/eV per cell
V	191.3	Å³ per cell
space group	R3m, No. 160
crystal system	trigonal
calculated formation energy	-34.7	kJ/mol of atoms

POSCAR file:
```
Pm3YNi8
1.0
2.564 1.481 8.398
-2.564 1.481 8.398
0.000 -2.961 8.398
Pm Y Ni
3 1 8
direct
0.000 0.000 0.000
0.125 0.125 0.125
0.500 0.500 0.500
0.625 0.625 0.625
0.061 0.563 0.563
0.063 0.063 0.564
0.063 0.564 0.063
0.312 0.312 0.312
0.563 0.061 0.563
0.563 0.563 0.061
0.564 0.063 0.063
0.813 0.813 0.813
```

(6)
The following is a DFT calculation (GGA-PBE) of a geometry-optimized PmY3Ni structure.

Calculated values
density of states at the Fermi level	8.97	states/eV per cell
V	153.2	Å³ per cell
space group	Pm-3m, No. 221
crystal system	cubic
calculated formation energy	-6.6	kJ/mol of atoms

POSCAR file:
```
PmY3Ni
1.0
5.351 0.000 0.000
0.000 5.351 0.000
0.000 0.000 5.351
Pm Y Ni
1 3 1
direct
0.000 0.000 0.000
0.000 0.500 0.500
0.500 0.000 0.500
0.500 0.500 0.000
0.500 0.500 0.500
```

(7)
The following is a DFT calculation (GGA-PBE) of a geometry-optimized PmY2Ni structure.

Calculated values
density of states at the Fermi level	4.03	states/eV per cell
V	106.0	Å³ per cell
space group	P4/mmm, No. 123
crystal system	tetragonal
calculated formation energy	-15.6	kJ/mol of atoms

POSCAR file:
```
PmY2Ni
1.0
3.456 0.000 0.000
0.000 3.456 0.000
0.000 0.000 8.874
Pm Y Ni
1 2 1
direct
0.000 0.000 0.000
0.500 0.500 0.317
0.500 0.500 0.683
0.000 0.000 0.500
```

(8)
The following is a DFT calculation (GGA-PBE) of a geometry-optimized Pm3Zn7Ni2 structure.

Calculated values
density of states at the Fermi level	9.77	states/eV per cell
V	217.9	Å³ per cell
space group	R-3m, No. 166
crystal system	trigonal
calculated formation energy	-29.7	kJ/mol of atoms

POSCAR file:
```
Pm3Zn7Ni2
1.0
2.710 1.565 8.563
-2.710 1.565 8.563
0.000 -3.130 8.563
Pm Zn Ni
3 7 2
direct
0.000 0.000 0.000
0.144 0.144 0.144
0.856 0.856 0.856
0.078 0.576 0.576
0.424 0.424 0.922
0.424 0.922 0.424
0.500 0.500 0.500
0.576 0.078 0.576
0.576 0.576 0.078
0.922 0.424 0.424
0.333 0.333 0.333
0.667 0.667 0.667
```

(9)
The following is a DFT calculation (GGA-PBE) of a geometry-optimized Pm2ZnNi structure.

Calculated values
density of states at the Fermi level	3.75	states/eV per cell
V	90.9	Å³ per cell
space group	P4/mmm, No. 123
crystal system	tetragonal
calculated formation energy	-27.6	kJ/mol of atoms

POSCAR file:
```
Pm2ZnNi
1.0
3.563 0.000 0.000
0.000 3.563 0.000
0.000 0.000 7.162
Pm Zn Ni
2 1 1
direct
0.000 0.000 0.234
0.000 0.000 0.766
0.500 0.500 0.500
0.500 0.500 0.000
```

(10)
The following is a DFT calculation (GGA-PBE) of a geometry-optimized PmZn2Ni3 structure.

Calculated values
density of states at the Fermi level	7.88	states/eV per cell
V	187.3	Å³ per cell
space group	Cmcm, No. 63
crystal system	orthorhombic
calculated formation energy	-25.9	kJ/mol of atoms

POSCAR file:
```
PmZn2Ni3
1.0
4.690 -3.840 0.000
4.690 3.840 0.000
0.000 0.000 5.199
Pm Zn Ni
2 4 6
direct
0.179 0.821 0.750
0.821 0.179 0.250
0.279 0.279 0.000
0.279 0.279 0.500
0.721 0.721 0.000
0.721 0.721 0.500
0.072 0.642 0.250
0.358 0.928 0.250
0.465 0.535 0.250
0.535 0.465 0.750
0.642 0.072 0.750
0.928 0.358 0.750
```

(11)
The following is a DFT calculation (GGA-PBE) of a geometry-optimized PmZn3Ni structure.

Calculated values
density of states at the Fermi level	6.98	states/eV per cell
V	176.9	Å³ per cell
space group	Cmcm, No. 63
crystal system	orthorhombic
calculated formation energy	-29.0	kJ/mol of atoms

POSCAR file:
```
PmZn3Ni
1.0
2.990 -5.730 0.000
2.990 5.730 0.000
0.000 0.000 5.161
Pm Zn Ni
2 6 2
direct
0.120 0.880 0.750
0.880 0.120 0.250
0.133 0.397 0.750
0.312 0.688 0.250
0.397 0.133 0.250
0.603 0.867 0.750
0.688 0.312 0.750
0.867 0.603 0.250
0.500 0.500 0.000
0.500 0.500 0.500
```

(12)
The following is a DFT calculation (GGA-PBE) of a geometry-optimized PmZn2Ni6 structure.

Calculated values
density of states at the Fermi level	8.74	states/eV per cell
V	293.4	Å³ per cell
space group	Fd-3m, No. 227
crystal system	cubic
calculated formation energy	35.5	kJ/mol of atoms

POSCAR file:
```
PmZn2Ni6
1.0
0.000 5.274 5.274
5.274 0.000 5.274
5.274 5.274 0.000
Pm Zn Ni
2 4 12
direct
0.125 0.125 0.125
0.875 0.875 0.875
0.000 0.500 0.500
0.500 0.000 0.500
0.500 0.500 0.000
0.500 0.500 0.500
0.118 0.118 0.632
0.118 0.632 0.118
0.118 0.632 0.632
0.368 0.368 0.882
0.368 0.882 0.368
0.368 0.882 0.882
0.632 0.118 0.118
0.632 0.118 0.632
0.632 0.632 0.118
0.882 0.368 0.368
0.882 0.368 0.882
0.882 0.882 0.368
```

(13)
The following is a DFT calculation (GGA-PBE) of a geometry-optimized Pm2Zn4Ni3 structure.

Calculated values
density of states at the Fermi level	5.38	states/eV per cell
V	152.6	Å³ per cell
space group	Fmmm, No. 69
crystal system	orthorhombic
calculated formation energy	-32.0	kJ/mol of atoms

POSCAR file:
```
Pm2Zn4Ni3
1.0
0.000 4.502 6.549
2.587 0.000 6.549
2.587 4.502 0.000
Pm Zn Ni
2 4 3
direct
0.125 0.125 0.875
0.875 0.875 0.125
0.174 0.507 0.493
0.493 0.826 0.174
0.507 0.174 0.826
0.826 0.493 0.507
0.000 0.000 0.500
0.500 0.500 0.000
0.500 0.500 0.500
```

(14)
The following is a DFT calculation (GGA-PBE) of a geometry-optimized Pm12ZnNi6 structure.

Calculated values
density of states at the Fermi level	16.98	states/eV per cell
V	489.3	Å³ per cell
space group	Im-3, No. 204
crystal system	cubic
calculated formation energy	-23.7	kJ/mol of atoms

POSCAR file:
```
Pm12ZnNi6
1.0
-4.964 4.964 4.964
4.964 -4.964 4.964
4.964 4.964 -4.964
Pm Zn Ni
12 1 6
direct
0.118 0.304 0.814
0.186 0.490 0.304
0.186 0.882 0.696
0.304 0.186 0.490
0.304 0.814 0.118
0.490 0.304 0.186
0.510 0.696 0.814
0.696 0.186 0.882
0.696 0.814 0.510
0.814 0.118 0.304
0.814 0.510 0.696
0.882 0.696 0.186
0.000 0.000 0.000
0.123 0.500 0.623
0.377 0.877 0.500
0.500 0.377 0.877
0.500 0.623 0.123
0.623 0.123 0.500
0.877 0.500 0.377
```

(15)
The following is a DFT calculation (GGA-PBE) of a geometry-optimized Pm3Zn4Ni4 structure.

Calculated values
density of states at the Fermi level	7.57	states/eV per cell
V	204.1	Å³ per cell
space group	P-1, No. 2
crystal system	triclinic
calculated formation energy	-33.4	kJ/mol of atoms

POSCAR file:
```
Pm3Zn4Ni4
1.0
3.872 0.000 0.000
0.001 4.030 0.000
1.924 1.987 13.078
Pm Zn Ni
3 4 4
direct
0.000 0.000 0.000
0.149 0.650 0.701
0.851 0.350 0.299
0.251 0.251 0.499
0.403 0.903 0.194
0.597 0.097 0.806
0.749 0.749 0.501
0.309 0.809 0.382
0.457 0.454 0.090
0.543 0.546 0.910
0.691 0.191 0.618
```

(16)
The following is a DFT calculation (GGA-PBE) of a geometry-optimized Pm3ZnNi3 structure.

Calculated values
density of states at the Fermi level	10.66	states/eV per cell
V	282.8	Å³ per cell
space group	Cmcm, No. 63
crystal system	orthorhombic
calculated formation energy	-35.9	kJ/mol of atoms

POSCAR file:
```
Pm3ZnNi3
1.0
2.114 -5.030 0.000
2.114 5.030 0.000
0.000 0.000 13.297
Pm Zn Ni
6 2 6
direct
0.009 0.991 0.750
0.291 0.709 0.604
0.291 0.709 0.896
0.709 0.291 0.104
0.709 0.291 0.396
0.991 0.009 0.250
0.000 0.000 0.000
0.000 0.000 0.500
0.286 0.714 0.250
0.421 0.579 0.089
0.421 0.579 0.411
0.579 0.421 0.589
0.579 0.421 0.911
0.714 0.286 0.750
```

(17)
The following is a DFT calculation (GGA-PBE) of a geometry-optimized PmZn6Ni2 structure.

Calculated values
density of states at the Fermi level	11.28	states/eV per cell
V	362.2	Å³ per cell
space group	Fd-3m, No. 227
crystal system	cubic
calculated formation energy	20.5	kJ/mol of atoms

POSCAR file:
```
PmZn6Ni2
1.0
0.000 5.658 5.658
5.658 0.000 5.658
5.658 5.658 0.000
Pm Zn Ni
2 12 4
direct
0.125 0.125 0.125
0.875 0.875 0.875
0.145 0.145 0.605
0.145 0.605 0.145
0.145 0.605 0.605
0.395 0.395 0.855
0.395 0.855 0.395
0.395 0.855 0.855
0.605 0.145 0.145
0.605 0.145 0.605
0.605 0.605 0.145
0.855 0.395 0.395
0.855 0.395 0.855
0.855 0.855 0.395
0.000 0.500 0.500
0.500 0.000 0.500
0.500 0.500 0.000
0.500 0.500 0.500
```

(18)
The following is a DFT calculation (GGA-PBE) of a geometry-optimized PmZn4Ni4 structure.

Calculated values
density of states at the Fermi level	7.33	states/eV per cell
V	270.0	Å³ per cell
space group	P4_2/n, No. 86
crystal system	tetragonal
calculated formation energy	-11.5	kJ/mol of atoms

POSCAR file:
```
PmZn4Ni4
1.0
7.976 0.000 0.000
0.000 7.976 0.000
0.000 0.000 4.243
Pm Zn Ni
2 8 8
direct
0.250 0.250 0.250
0.750 0.750 0.750
0.123 0.837 0.739
0.163 0.623 0.239
0.337 0.877 0.239
0.377 0.663 0.739
0.623 0.337 0.261
0.663 0.123 0.761
0.837 0.377 0.761
0.877 0.163 0.261
0.020 0.116 0.760
0.116 0.480 0.740
0.384 0.020 0.740
0.480 0.384 0.760
0.520 0.616 0.240
0.616 0.980 0.260
0.884 0.520 0.260
0.980 0.884 0.240
```

(19)
The following is a DFT calculation (GGA-PBE) of a geometry-optimized Pm3Zn8Ni3 structure.

Calculated values
density of states at the Fermi level	10.36	states/eV per cell
V	248.4	Å³ per cell
space group	Immm, No. 71
crystal system	orthorhombic
calculated formation energy	-31.6	kJ/mol of atoms

POSCAR file:
```
Pm3Zn8Ni3
1.0
-2.127 4.665 6.259
2.127 -4.665 6.259
2.127 4.665 -6.259
Pm Zn Ni
3 8 3
direct
0.000 0.000 0.000
0.323 0.323 0.000
0.677 0.677 0.000
0.027 0.670 0.357
0.169 0.885 0.284
0.313 0.670 0.643
0.399 0.115 0.284
0.601 0.885 0.716
0.687 0.330 0.357
0.831 0.115 0.716
0.973 0.330 0.643
0.288 0.500 0.788
0.500 0.000 0.500
0.712 0.500 0.212
```

(20)
The following is a DFT calculation (GGA-PBE) of a geometry-optimized PmZn3Ni structure.

Calculated values
density of states at the Fermi level	13.76	states/eV per cell
V	366.8	Å³ per cell
space group	P6_3/mmc, No. 194
crystal system	hexagonal
calculated formation energy	-25.9	kJ/mol of atoms

POSCAR file:
```
PmZn3Ni
1.0
6.293 0.000 0.000
-3.146 5.450 0.000
0.000 0.000 10.697
Pm Zn Ni
4 12 4
direct
0.000 0.000 0.000
0.000 0.000 0.500
0.333 0.667 0.250
0.667 0.333 0.750
0.000 0.500 0.000
0.000 0.500 0.500
0.140 0.281 0.750
0.140 0.860 0.750
0.281 0.140 0.250
0.500 0.000 0.000
0.500 0.000 0.500
0.500 0.500 0.000
0.500 0.500 0.500
0.719 0.860 0.750
0.860 0.140 0.250
0.860 0.719 0.250
0.333 0.667 0.637
0.333 0.667 0.863
0.667 0.333 0.137
0.667 0.333 0.363
```